No. 1
5
Lattice="5.154 0.000 0.000 0.000 5.152 0.000 0.000 0.000 5.139" Properties=species:S:1:pos:R:3 comment="La2SmAgC, optimized geometry, DFT PBE" e_form_mev_per_atom=-71 e_tot_ev_per_atom=-5.40 pbc="T T T"
C 0.000 0.000 0.155
La 2.577 5.152 5.087
La 0.000 2.576 5.085
Ag 2.577 2.576 2.585
Sm 0.000 5.152 2.505



No. 2
8
Lattice="3.834 0.000 0.000 -1.904 6.399 0.000 -1.892 -2.149 11.670" Properties=species:S:1:pos:R:3 comment="TaGaI2, optimized geometry, DFT PBE" e_above_lowest_polymorph_ev_per_atom=0.0586 e_tot_ev_per_atom=-4.52 e_form_raw_ev_per_atom=-0.03 pbc="T T T"
I -2.256 0.465 11.350
I 1.579 3.421 5.352
I -0.338 3.314 9.153
I 1.576 -0.371 2.752
Ga 1.578 0.087 7.426
Ga -0.338 0.168 4.684
Ta -0.339 0.524 9.186
Ta -0.339 1.749 6.804



No. 3
6
Lattice="-3.624 1.647 -4.120 -0.383 -3.020 -4.853 -4.699 -3.092 -1.086" Properties=species:S:1:pos:R:3 comment="PuAg4Bi, optimized geometry, DFT PBE" e_form_mev_per_atom=-47 e_tot_ev_per_atom=-4.98 pbc="T T T"
Ag -3.097 -1.248 -5.741
Ag -5.437 -2.788 -6.282
Ag -5.246 -1.284 -3.865
Ag -3.632 -3.608 -4.230
Pu -2.176 -1.116 -2.515
Bi 0.000 0.000 0.000



No. 4
7
Lattice="-1.510 3.154 -2.584 -3.151 -0.652 1.045 3.326 4.752 7.516" Properties=species:S:1:pos:R:3 comment="Li2HoGa4, optimized geometry, DFT PBE" e_form_mev_per_atom=-378 e_tot_ev_per_atom=-3.31 pbc="T T T"
Li 0.397 2.391 2.687
Li -1.731 4.863 3.290
Ho -0.755 1.577 -1.292
Ga -1.430 0.550 1.507
Ga 0.095 6.705 4.471
Ga 0.694 4.187 4.706
Ga -2.029 3.067 1.271



No. 5
8
Lattice="4.085 0.000 0.000 0.000 4.085 0.000 0.000 0.000 8.208" Properties=species:S:1:pos:R:3 comment="ErSbPt6, optimized geometry, DFT PBE" e_tot_ev_per_atom=-6.26 e_form_raw_ev_per_atom=-0.64 pbc="T T T"
Pt 2.042 2.042 4.104
Pt 2.042 0.000 2.069
Pt 2.042 0.000 6.139
Pt 2.042 2.042 0.000
Pt 0.000 2.042 2.069
Pt 0.000 2.042 6.139
Sb 0.000 0.000 4.104
Er 0.000 0.000 0.000



No. 6
20
Lattice="6.941 0.000 0.000 3.470 6.011 0.000 3.470 2.004 13.071" Properties=species:S:1:pos:R:3 comment="Ac2CoAgSn6, optimized geometry, DFT PBE" e_form_mev_per_atom=-259 e_tot_ev_per_atom=-4.48 pbc="T T T"
Ag 6.941 4.007 3.693
Ag 6.941 4.007 9.378
Sn 8.534 4.927 1.446
Sn 6.941 6.305 5.285
Sn 4.951 5.156 7.785
Sn 5.347 3.087 11.625
Sn 6.941 5.847 11.625
Sn 6.941 2.167 1.446
Sn 6.941 1.709 7.785
Sn 5.347 4.927 1.446
Sn 8.931 2.858 5.285
Sn 8.931 5.156 7.785
Sn 8.534 3.087 11.625
Sn 4.951 2.858 5.285
Ac 10.411 6.011 4.278
Ac 3.470 2.004 8.793
Ac 10.411 6.011 11.319
Ac 3.470 2.004 1.752
Co 6.941 4.007 6.535
Co 0.000 0.000 0.000